No. 1
A relaxed Ba2BeCoBi crystal. Source: Alexandria, functional GGA-PBE.

Calculated values
The calculation puts the formation energy at 0.7 eV per formula unit.

Cell and atoms, written as POSCAR:
```
Ba2BeCoBi
1.0
-0.9032 -6.0031 -1.4849
3.9540 -0.3077 -1.1611
1.5761 -1.6745 5.8112
Be Co Bi Ba
1 1 1 2
direct
0.0000 0.0000 0.0000
0.0000 0.5000 0.0000
0.5000 0.5000 0.5000
0.0000 0.0000 0.5000
0.5000 0.0000 0.0000
```



No. 2
A relaxed BaBeFe2Bi crystal. Source: Alexandria, functional GGA-PBE.

Calculated values
The calculation puts the formation energy at 11.6 eV per formula unit.

Cell and atoms, written as POSCAR:
```
BaBeFe2Bi
1.0
5.0188 0.0000 0.0000
0.0000 6.4302 0.0000
0.0000 0.0000 5.0188
Fe Be Bi Ba
2 1 1 1
direct
0.0000 0.0000 0.5000
0.5000 0.0000 0.0000
0.5000 0.5000 0.5000
0.0000 0.5000 0.0000
0.0000 0.0000 0.0000
```



No. 3
A relaxed BaBe2InBi crystal. Source: Alexandria, functional GGA-PBE.

Calculated values
The calculation puts the formation energy at 7.5 eV per formula unit. The polymorph energy (0 for the lowest one) is 1032.7 meV/atom.

Cell and atoms, written as POSCAR:
```
BaBe2InBi
1.0
-0.5815 -2.8439 4.9836
4.8155 -3.9879 -1.7138
3.8174 3.5480 2.4701
Be In Bi Ba
2 1 1 1
direct
0.0000 0.0000 0.5000
0.5000 0.0000 0.0000
0.5000 0.5000 0.5000
0.0000 0.5000 0.0000
0.0000 0.0000 0.0000
```



No. 4
A relaxed BaBe2InBi crystal. Source: Alexandria, functional GGA-PBE.

Calculated values
The calculation puts the formation energy at 2.3 eV per formula unit. The polymorph energy (0 for the lowest one) is 0.0 meV/atom.

Cell and atoms, written as POSCAR:
```
BaBe2InBi
1.0
-3.3114 -2.7420 -2.2380
3.8825 -4.9263 0.2909
-1.8829 -1.2304 4.2934
Be In Bi Ba
2 1 1 1
direct
0.0000 0.0000 0.5000
0.5000 0.0000 0.0000
0.0000 0.0000 0.0000
0.0000 0.5000 0.0000
0.5000 0.5000 0.5000
```



No. 5
A relaxed Ba2BeBiIr crystal. Source: Alexandria, functional GGA-PBE.

Calculated values
The calculation puts the formation energy at 3.6 eV per formula unit.

Cell and atoms, written as POSCAR:
```
Ba2BeBiIr
1.0
6.5832 0.0000 0.0000
0.0000 4.4538 0.0000
0.0000 0.0000 6.5832
Be Ir Bi Ba
1 1 1 2
direct
0.0000 0.5000 0.0000
0.5000 0.5000 0.5000
0.0000 0.0000 0.0000
0.0000 0.0000 0.5000
0.5000 0.0000 0.0000
```



No. 6
A relaxed Ba2BeBiO crystal. Source: Alexandria, functional GGA-PBE.

Calculated values
As for the uncorrected formation energy: 0.19 eV/atom.

Cell and atoms, written as POSCAR:
```
Ba2BeBiO
1.0
-0.0058 3.2831 5.8551
-4.5130 -0.2574 0.1399
0.4348 -5.8426 3.2765
Be Bi O Ba
1 1 1 2
direct
0.5000 0.5000 0.5000
0.0000 0.0000 0.0000
0.0000 0.5000 0.0000
0.0000 0.0000 0.5000
0.5000 0.0000 0.0000
```



No. 7
A relaxed Ba3Be2BiO6 crystal. Source: Alexandria, functional GGA-PBE.

Calculated values
As for the uncorrected formation energy: -2.16 eV/atom.

Cell and atoms, written as POSCAR:
```
Ba3Be2BiO6
1.0
-3.9476 2.1751 -3.6958
0.0286 -5.7016 1.2101
-4.6726 1.1837 5.6876
Ba Be Bi O
3 2 1 6
direct
0.3333 0.6667 0.6915
0.6667 0.3333 0.3085
0.0000 0.0000 0.0000
0.6667 0.3333 0.7269
0.3333 0.6667 0.2731
0.0000 0.0000 0.5000
0.6415 0.8207 0.2919
0.1793 0.3585 0.2919
0.1793 0.8207 0.2919
0.8207 0.6415 0.7081
0.3585 0.1793 0.7081
0.8207 0.1793 0.7081
```



No. 8
A relaxed BaBe2BiPd crystal. Source: Alexandria, functional GGA-PBE.

Calculated values
The calculation puts the formation energy at 4.2 eV per formula unit.

Cell and atoms, written as POSCAR:
```
BaBe2BiPd
1.0
4.7447 0.0000 0.0000
0.0000 6.9270 0.0000
0.0000 0.0000 4.7447
Be Bi Pd Ba
2 1 1 1
direct
0.0000 0.0000 0.5000
0.5000 0.0000 0.0000
0.0000 0.0000 0.0000
0.5000 0.5000 0.5000
0.0000 0.5000 0.0000
```



No. 9
A relaxed RbBa2BeBi crystal. Source: Alexandria, functional GGA-PBE.

Calculated values
The calculation puts the formation energy at 5.3 eV per formula unit.

Cell and atoms, written as POSCAR:
```
RbBa2BeBi
1.0
6.7104 0.0000 0.0000
0.0000 6.1437 0.0000
0.0000 0.0000 6.7104
Be Bi Rb Ba
1 1 1 2
direct
0.5000 0.5000 0.5000
0.0000 0.5000 0.0000
0.0000 0.0000 0.0000
0.0000 0.0000 0.5000
0.5000 0.0000 0.0000
```



No. 10
A relaxed BaBe2ReBi crystal. Source: Alexandria, functional GGA-PBE.

Calculated values
The calculation puts the formation energy at 1.8 eV per formula unit.

Cell and atoms, written as POSCAR:
```
BaBe2ReBi
1.0
4.7622 0.0000 0.0000
0.0000 5.1760 0.0000
0.0000 0.0000 4.7622
Re Be Bi Ba
1 2 1 1
direct
0.0000 0.0000 0.0000
0.0000 0.0000 0.5000
0.5000 0.0000 0.0000
0.0000 0.5000 0.0000
0.5000 0.5000 0.5000
```



No. 11
A relaxed BaBeBi2Rh crystal. Source: Alexandria, functional GGA-PBE.

Calculated values
The calculation puts the formation energy at 9.5 eV per formula unit.

Cell and atoms, written as POSCAR:
```
BaBeBi2Rh
1.0
6.0811 0.0000 0.0000
0.0000 5.0721 0.0000
0.0000 0.0000 6.0811
Be Rh Bi Ba
1 1 2 1
direct
0.0000 0.5000 0.0000
0.5000 0.5000 0.5000
0.0000 0.0000 0.5000
0.5000 0.0000 0.0000
0.0000 0.0000 0.0000
```



No. 12
A relaxed BaBe2BiRu crystal. Source: Alexandria, functional GGA-PBE.

Calculated values
The calculation puts the formation energy at 7.5 eV per formula unit.

Cell and atoms, written as POSCAR:
```
BaBe2BiRu
1.0
-1.1331 1.4584 -4.3240
-5.6484 -3.6388 0.2529
-2.2852 3.6751 1.8384
Ru Be Bi Ba
1 2 1 1
direct
0.5000 0.5000 0.5000
0.0000 0.0000 0.5000
0.5000 0.0000 0.0000
0.0000 0.0000 0.0000
0.0000 0.5000 0.0000
```